# 1
A plane-wave DFT calculation with PBE was carried out for a relaxed structure of UTcGe2.

a = 4.408 Å, b = 6.901 Å, c = 5.298 Å
α = 90.00°, β = 114.47°, γ = 90.00°
Atoms (fractional coordinates):
U  0.093  0.250  0.187
U  0.907  0.750  0.813
Tc  0.150  0.750  0.301
Tc  0.850  0.250  0.699
Ge  0.367  0.040  0.733
Ge  0.367  0.460  0.733
Ge  0.633  0.540  0.267
Ge  0.633  0.960  0.267

Output
**Size of the total moment**: 0.71 μB/f.u.


# 2
A plane-wave DFT calculation with PBE was carried out for a relaxed structure of U3Tc4Ge2.

a = 4.868 Å, b = 4.868 Å, c = 8.738 Å
α = 90.35°, β = 90.35°, γ = 55.22°
Atoms (fractional coordinates):
U  0.000  0.000  0.000
U  0.377  0.377  0.408
U  0.623  0.623  0.592
Tc  0.097  0.097  0.362
Tc  0.265  0.265  0.085
Tc  0.735  0.735  0.915
Tc  0.903  0.903  0.638
Ge  0.319  0.319  0.777
Ge  0.681  0.681  0.223

Output
**Size of the total moment**: 0.00 μB/f.u.


# 3
A plane-wave DFT calculation with PBE was carried out for a relaxed structure of UTcGe2.

a = 3.147 Å, b = 3.147 Å, c = 7.134 Å
α = 90.00°, β = 90.00°, γ = 90.00°
Atoms (fractional coordinates):
U  0.000  0.000  0.000
Tc  0.000  0.000  0.500
Ge  0.500  0.500  0.299
Ge  0.500  0.500  0.701

Output
**Size of the total moment**: 3.29 μB/f.u.


# 4
A plane-wave DFT calculation with PBE was carried out for a relaxed structure of U2TcGe4.

a = 4.239 Å, b = 4.239 Å, c = 8.075 Å
α = 90.00°, β = 90.00°, γ = 90.00°
Atoms (fractional coordinates):
U  0.000  0.500  0.233
U  0.500  0.000  0.767
Tc  0.500  0.500  0.000
Ge  0.000  0.000  0.500
Ge  0.000  0.500  0.827
Ge  0.500  0.000  0.173
Ge  0.500  0.500  0.500

Output
**Size of the total moment**: 4.11 μB/f.u.


# 5
A plane-wave DFT calculation with PBE was carried out for a relaxed structure of U4Tc2Ge.

a = 10.260 Å, b = 10.260 Å, c = 5.059 Å
α = 96.93°, β = 96.93°, γ = 29.60°
Atoms (fractional coordinates):
U  0.072  0.790  0.713
U  0.210  0.928  0.787
U  0.240  0.446  0.194
U  0.446  0.240  0.694
U  0.554  0.760  0.306
U  0.760  0.554  0.806
U  0.790  0.072  0.213
U  0.928  0.210  0.287
Tc  0.124  0.298  0.305
Tc  0.298  0.124  0.805
Tc  0.702  0.876  0.195
Tc  0.876  0.702  0.695
Ge  0.355  0.645  0.250
Ge  0.645  0.355  0.750

Output
**Size of the total moment**: 0.00 μB/f.u.


# 6
A plane-wave DFT calculation with PBE was carried out for a relaxed structure of U2Tc4Ge3.

a = 4.652 Å, b = 4.652 Å, c = 8.666 Å
α = 99.23°, β = 99.23°, γ = 57.85°
Atoms (fractional coordinates):
U  0.179  0.179  0.232
U  0.821  0.821  0.768
Tc  0.138  0.138  0.900
Tc  0.477  0.477  0.321
Tc  0.523  0.523  0.679
Tc  0.862  0.862  0.100
Ge  0.145  0.145  0.585
Ge  0.500  0.500  0.000
Ge  0.855  0.855  0.415

Output
**Size of the total moment**: 0.00 μB/f.u.


# 7
A plane-wave DFT calculation with PBE was carried out for a relaxed structure of U4Tc3Ge.

a = 10.265 Å, b = 10.265 Å, c = 5.072 Å
α = 92.02°, β = 92.02°, γ = 16.12°
Atoms (fractional coordinates):
U  0.113  0.113  0.211
U  0.143  0.143  0.722
U  0.857  0.857  0.278
U  0.887  0.887  0.789
Tc  0.000  0.000  0.000
Tc  0.236  0.236  0.243
Tc  0.764  0.764  0.757
Ge  0.500  0.500  0.500

Output
**Size of the total moment**: 0.00 μB/f.u.


# 8
A plane-wave DFT calculation with PBE was carried out for a relaxed structure of U2Tc2Ge.

a = 7.177 Å, b = 7.177 Å, c = 7.177 Å
α = 34.84°, β = 34.84°, γ = 34.84°
Atoms (fractional coordinates):
U  0.064  0.064  0.064
U  0.936  0.936  0.936
Tc  0.204  0.204  0.204
Tc  0.796  0.796  0.796
Ge  0.500  0.500  0.500

Output
**Size of the total moment**: 3.34 μB/f.u.


Summary of D(E_F) in states/eV per cell
9.135; 9.007; 6.263; 12.096; 29.200; 8.511; 15.164; 10.367
(order as listed above)
Summary of energy relative to the elements in eV/f.u.
-1.00; -1.65; -0.40; 0.09; -0.46; -0.85; 2.36; 1.45
(order as listed above)